An optimized crystal structure of Pr4Sb3N, computed with PBE.

Cell: 10.0701 8.8404 6.4251 Å, 90.00 90.00 90.00°
Space group Pmn2_1 (No. 31)
Symmetry-distinct sites (fractional):
Pr  0.0000  0.0974  0.0000 x2
Pr  0.0000  0.8175  0.5590 x2
Pr  0.2110  0.6927  0.0006 x4
Sb  0.0000  0.1586  0.4900 x2
Sb  0.2314  0.3372  0.9899 x4
N  0.0000  0.8210  0.9244 x2

DOS(E_F) = 0.04 states/eV/atom
formation energy without anion corrections = -0.94 eV per atom
total energy = -94.59 eV for the cell shown